No. 1
An optimized crystal structure of Tm3ThTl4Se8. Source: Alexandria via LeMat-Bulk, functional PBE.

Cell lengths 8.2777, 9.3665, 8.2792 Å; angles 116.27, 119.99, 90.00 degrees
Positions (direct):
Tm: 0.5000 0.5000 0.0000
Tm: 0.5000 0.5000 0.5000
Tm: 0.0000 0.5000 0.5000
Th: 0.0000 0.5000 0.0000
Tl: 0.5000 0.0000 0.0000
Tl: 0.5000 0.0000 0.5000
Tl: 0.0000 0.0000 0.0000
Tl: 0.0000 0.0000 0.5000
Se: 0.2367 0.6992 0.9628
Se: 0.2367 0.6991 0.4734
Se: 0.2687 0.3063 0.5374
Se: 0.7261 0.6992 0.9628
Se: 0.2739 0.3008 0.0372
Se: 0.7313 0.6937 0.4626
Se: 0.7633 0.3009 0.5266
Se: 0.7633 0.3008 0.0372

Properties
- density of states at the Fermi level (states/eV/atom) = 0.386
- symmetry = R-3m
- raw formation energy (meV per atom) = -1311
- V (Å³ per atom) = 29.9

No. 2
An optimized crystal structure of TaOsBr. Source: Alexandria via LeMat-Bulk, functional PBE.

Cell lengths 3.4767, 3.4767, 6.1840 Å; angles 90.00, 90.00, 120.00 degrees
Positions (direct):
Os: 0.6667 0.3333 0.3974
Br: 0.0000 0.0000 0.9737
Ta: 0.3333 0.6667 0.6289

Properties
- density of states at the Fermi level (states/eV/atom) = 0.285
- symmetry = P3m1
- raw formation energy (meV per atom) = 152
- V (Å³ per atom) = 21.6

No. 3
An optimized crystal structure of AcSn4Bi. Source: Alexandria via LeMat-Bulk, functional PBE.

Cell lengths 6.3316, 6.3316, 6.3316 Å; angles 60.00, 60.00, 60.00 degrees
Positions (direct):
Ac: 0.2500 0.2500 0.2500
Bi: 0.0000 0.0000 0.0000
Sn: 0.6252 0.6252 0.1245
Sn: 0.6252 0.1245 0.6252
Sn: 0.6252 0.6252 0.6252
Sn: 0.1245 0.6252 0.6252

Properties
- density of states at the Fermi level (states/eV/atom) = 0.502
- calculated formation energy (eV per atom) = -0.254
- symmetry = F-43m
- V (Å³ per atom) = 29.9

No. 4
An optimized crystal structure of Ca3Se. Source: Alexandria via LeMat-Bulk, functional PBE.

Cell lengths 4.0513, 6.7276, 6.7327 Å; angles 53.77, 90.00, 90.00 degrees
Positions (direct):
Ca: 0.0000 0.0799 0.0793
Ca: 0.5000 0.7500 0.7500
Ca: 0.0000 0.4201 0.4207
Se: 0.5000 0.2500 0.2500

Properties
- density of states at the Fermi level (states/eV/atom) = 0.700
- symmetry = Cmmm
- raw formation energy (meV per atom) = -820
- V (Å³ per atom) = 37.0

No. 5
An optimized crystal structure of LuNbIrRu. Source: Alexandria via LeMat-Bulk, functional PBE.

Cell lengths 4.6127, 4.6127, 4.6127 Å; angles 60.00, 60.00, 60.00 degrees
Positions (direct):
Ru: 0.7500 0.7500 0.7500
Nb: 0.0000 0.0000 0.0000
Ir: 0.2500 0.2500 0.2500
Lu: 0.5000 0.5000 0.5000

Properties
- density of states at the Fermi level (states/eV/atom) = 1.123
- calculated formation energy (eV per atom) = -0.481
- symmetry = F-43m
- V (Å³ per atom) = 17.3

No. 6
An optimized crystal structure of Tl3Te3Au2. Source: Alexandria via LeMat-Bulk, functional PBE.

Cell lengths 4.1977, 6.9636, 18.8769 Å; angles 90.00, 90.00, 107.54 degrees
Positions (direct):
Tl: 0.8823 0.7646 0.4147
Tl: 0.1177 0.2354 0.9147
Tl: 0.8823 0.7646 0.0853
Tl: 0.1177 0.2354 0.5853
Tl: 0.5932 0.1864 0.2500
Tl: 0.4068 0.8136 0.7500
Te: 0.6158 0.2316 0.4356
Te: 0.3842 0.7684 0.9356
Te: 0.6158 0.2316 0.0644
Te: 0.3842 0.7684 0.5644
Te: 0.3218 0.6436 0.2500
Te: 0.6782 0.3564 0.7500
Au: 0.8028 0.6055 0.8624
Au: 0.1972 0.3945 0.3624
Au: 0.8028 0.6055 0.6376
Au: 0.1972 0.3945 0.1376

Properties
- density of states at the Fermi level (states/eV/atom) = 0.304
- symmetry = Cmcm
- raw formation energy (meV per atom) = -184
- V (Å³ per atom) = 32.9

No. 7
An optimized crystal structure of KLi2TlCd. Source: Alexandria via LeMat-Bulk, functional PBE.

Cell lengths 5.4412, 5.4412, 5.7085 Å; angles 90.00, 90.00, 90.00 degrees
Positions (direct):
Tl: 0.0000 0.0000 0.0000
Li: 0.0000 0.5000 0.0000
Li: 0.5000 0.0000 0.0000
K: 0.5000 0.5000 0.5000
Cd: 0.0000 0.0000 0.5000

Properties
- density of states at the Fermi level (states/eV/atom) = 0.430
- calculated formation energy (eV per atom) = 0.009
- symmetry = P4/mmm
- V (Å³ per atom) = 33.8

No. 8
An optimized crystal structure of CaPmTl. Source: Alexandria via LeMat-Bulk, functional PBE.

Cell lengths 3.7313, 3.7313, 7.5078 Å; angles 104.39, 104.39, 90.00 degrees
Positions (direct):
Tl: 0.9513 0.9513 0.9027
Ca: 0.3040 0.3040 0.6079
Pm: 0.5947 0.5947 0.1894

Properties
- density of states at the Fermi level (states/eV/atom) = 1.059
- calculated formation energy (eV per atom) = -0.231
- symmetry = I4mm
- V (Å³ per atom) = 32.6

No. 9
An optimized crystal structure of B5C7. Source: Alexandria via LeMat-Bulk, functional PBE.

Cell lengths 6.1609, 6.1609, 5.2175 Å; angles 101.72, 101.72, 24.41 degrees
Positions (direct):
B: 0.0070 0.0070 0.9856
B: 0.8966 0.8966 0.1665
B: 0.0121 0.0121 0.5487
B: 0.6622 0.6622 0.3323
B: 0.2544 0.2544 0.8749
C: 0.3278 0.3278 0.1734
C: 0.2611 0.2611 0.3820
C: 0.9073 0.9073 0.7033
C: 0.5893 0.5893 0.5547
C: 0.3339 0.3339 0.6577
C: 0.6579 0.6579 0.8299
C: 0.5904 0.5904 0.0410

Properties
- density of states at the Fermi level (states/eV/atom) = 0.155
- calculated formation energy (eV per atom) = 0.338
- symmetry = Cm
- V (Å³ per atom) = 6.7

No. 10
An optimized crystal structure of Pm5GaPd4. Source: Alexandria via LeMat-Bulk, functional PBE.

Cell lengths 3.6071, 3.6071, 18.1190 Å; angles 90.00, 90.00, 90.00 degrees
Positions (direct):
Pm: 0.5000 0.5000 0.1037
Pm: 0.5000 0.5000 0.3018
Pm: 0.5000 0.5000 0.5000
Pm: 0.5000 0.5000 0.6982
Pm: 0.5000 0.5000 0.8963
Ga: 0.0000 0.0000 0.0000
Pd: 0.0000 0.0000 0.2037
Pd: 0.0000 0.0000 0.4008
Pd: 0.0000 0.0000 0.5992
Pd: 0.0000 0.0000 0.7963

Properties
- density of states at the Fermi level (states/eV/atom) = 0.778
- calculated formation energy (eV per atom) = -0.724
- symmetry = P4/mmm
- V (Å³ per atom) = 23.6

No. 11
An optimized crystal structure of PmSmDy2Tm2. Source: Alexandria via LeMat-Bulk, functional PBE.

Cell lengths 3.3903, 6.5308, 17.7853 Å; angles 90.00, 90.00, 90.00 degrees
Positions (direct):
Pm: 0.0000 0.0000 0.0000
Pm: 0.5000 0.5000 0.5000
Sm: 0.5000 0.5000 0.0000
Sm: 0.0000 0.0000 0.5000
Dy: 0.5000 0.2747 0.3136
Dy: 0.0000 0.7747 0.1864
Dy: 0.5000 0.7253 0.6864
Dy: 0.0000 0.2253 0.8136
Tm: 0.5000 0.7760 0.3511
Tm: 0.5000 0.2240 0.6489
Tm: 0.0000 0.7240 0.8511
Tm: 0.0000 0.2760 0.1489

Properties
- density of states at the Fermi level (states/eV/atom) = 1.530
- calculated formation energy (eV per atom) = 0.281
- symmetry = Pnnm
- V (Å³ per atom) = 32.8

No. 12
An optimized crystal structure of ZnAs2I8. Source: Alexandria via LeMat-Bulk, functional PBE.

Cell lengths 8.4506, 9.0655, 10.8604 Å; angles 108.32, 90.00, 117.78 degrees
Positions (direct):
Zn: 0.0000 0.0000 0.0000
As: 0.7930 0.5860 0.6768
As: 0.2070 0.4140 0.3232
I: 0.9641 0.4033 0.1676
I: 0.4391 0.4033 0.1676
I: 0.0359 0.5967 0.8324
I: 0.3748 0.7496 0.4769
I: 0.5609 0.5967 0.8324
I: 0.9740 0.9481 0.2095
I: 0.0260 0.0519 0.7905
I: 0.6252 0.2504 0.5231

Properties
- density of states at the Fermi level (states/eV/atom) = 0.000
- symmetry = C2/m
- raw formation energy (meV per atom) = -203
- V (Å³ per atom) = 62.6

No. 13
An optimized crystal structure of Be3CuB. Source: Alexandria via LeMat-Bulk, functional PBE.

Cell lengths 3.9680, 3.9680, 3.9680 Å; angles 90.00, 90.00, 90.00 degrees
Positions (direct):
Be: 0.0000 0.5000 0.0000
Be: 0.0000 0.0000 0.5000
Be: 0.5000 0.0000 0.0000
B: 0.5000 0.5000 0.5000
Cu: 0.0000 0.0000 0.0000

Properties
- density of states at the Fermi level (states/eV/atom) = 0.388
- calculated formation energy (eV per atom) = 1.358
- symmetry = Pm-3m
- V (Å³ per atom) = 12.5

No. 14
An optimized crystal structure of P2WSe. Source: Alexandria via LeMat-Bulk, functional PBE.

Cell lengths 7.9355, 7.9355, 7.9355 Å; angles 23.00, 23.00, 23.00 degrees
Positions (direct):
P: 0.0117 0.0117 0.0117
P: 0.4883 0.4883 0.4883
Se: 0.2500 0.2500 0.2500
W: 0.7500 0.7500 0.7500

Properties
- density of states at the Fermi level (states/eV/atom) = 0.600
- symmetry = R-3m
- raw formation energy (meV per atom) = 128
- V (Å³ per atom) = 16.7

No. 15
An optimized crystal structure of MnGa. Source: Alexandria via LeMat-Bulk, functional PBE.

Cell lengths 2.6864, 11.3485, 5.9601 Å; angles 90.00, 90.00, 90.00 degrees
Positions (direct):
Mn: 0.5000 0.8873 0.5612
Mn: 0.5000 0.1127 0.5612
Mn: 0.5000 0.3873 0.0612
Mn: 0.5000 0.6127 0.0612
Mn: 0.0000 0.0000 0.3091
Mn: 0.0000 0.5000 0.8091
Ga: 0.0000 0.2462 0.8190
Ga: 0.0000 0.7538 0.8190
Ga: 0.0000 0.7462 0.3190
Ga: 0.0000 0.2538 0.3190
Ga: 0.5000 0.0000 0.9324
Ga: 0.5000 0.5000 0.4324

Properties
- density of states at the Fermi level (states/eV/atom) = 0.802
- calculated formation energy (eV per atom) = 0.057
- symmetry = Amm2
- V (Å³ per atom) = 15.1

No. 16
An optimized crystal structure of Ge3RhO. Source: Alexandria via LeMat-Bulk, functional PBE.

Cell lengths 4.7132, 4.7132, 4.7132 Å; angles 90.00, 90.00, 90.00 degrees
Positions (direct):
Ge: 0.0000 0.5000 0.0000
Ge: 0.0000 0.0000 0.5000
Ge: 0.5000 0.0000 0.0000
Rh: 0.0000 0.0000 0.0000
O: 0.5000 0.5000 0.5000

Properties
- density of states at the Fermi level (states/eV/atom) = 0.561
- symmetry = Pm-3m
- raw formation energy (meV per atom) = 334
- V (Å³ per atom) = 20.9

No. 17
An optimized crystal structure of DyIn4Cl7. Source: Alexandria via LeMat-Bulk, functional PBE.

Cell lengths 5.2387, 7.5607, 11.2644 Å; angles 112.17, 103.45, 90.00 degrees
Positions (direct):
Dy: 0.0000 0.0000 0.0000
In: 0.4150 0.4537 0.8301
In: 0.5850 0.5463 0.1699
In: 0.3047 0.8558 0.6094
In: 0.6953 0.1442 0.3906
Cl: 0.1048 0.3287 0.2097
Cl: 0.8952 0.6713 0.7903
Cl: 0.9181 0.1797 0.8362
Cl: 0.0819 0.8203 0.1638
Cl: 0.7217 0.7895 0.4433
Cl: 0.5000 0.0000 0.0000
Cl: 0.2783 0.2105 0.5567

Properties
- density of states at the Fermi level (states/eV/atom) = 0.000
- symmetry = C2/m
- raw formation energy (meV per atom) = -1297
- V (Å³ per atom) = 33.3